1.
Entry from Alexandria via LeMat-Bulk: a geometry-optimized Sr2GaC structure (PBE-GGA).

Output
Formation energy   2.6 eV/f.u.
Electronic total energy   -3.26 eV/atom
DOS at the Fermi energy   4.75 states/eV/cell
SG   I-42d

abc: 7.9526 7.9526 6.7083
angles: 53.65 53.65 90.00
Sites, in units of the cell vectors:
Sr (0.5480, 0.1250, 0.2500)
Sr (0.2020, 0.6250, 0.2500)
Sr (0.3750, 0.4520, 0.7500)
Sr (0.8750, 0.7980, 0.7500)
C (0.5000, 0.5000, 0.0000)
C (0.2500, 0.7500, 0.5000)
Ga (0.0000, 0.0000, 0.0000)
Ga (0.7500, 0.2500, 0.5000)

=====

2.
Entry from Alexandria via LeMat-Bulk: a geometry-optimized Sm6S2N3 structure (PBE-GGA).

Output
Electronic total energy   -7.11 eV/atom
DOS at the Fermi energy   4.25 states/eV/cell
Raw formation energy   -1.5145 eV per atom
SG   R-3m

abc: 3.6972 3.6972 19.0594
angles: 84.43 84.43 60.00
Sites, in units of the cell vectors:
Sm (0.0743, 0.0743, 0.7770)
Sm (0.9257, 0.9257, 0.2230)
Sm (0.1931, 0.1931, 0.4207)
Sm (0.8069, 0.8069, 0.5793)
Sm (0.3580, 0.3580, 0.9260)
Sm (0.6420, 0.6420, 0.0740)
S (0.4409, 0.4409, 0.6774)
S (0.5591, 0.5591, 0.3226)
N (0.0000, 0.0000, 0.0000)
N (0.2814, 0.2814, 0.1557)
N (0.7186, 0.7186, 0.8443)

=====

3.
Entry from Alexandria via LeMat-Bulk: a geometry-optimized Co2PdSe2 structure (PBE-GGA).

Output
Electronic total energy   -5.14 eV/atom
DOS at the Fermi energy   9.77 states/eV/cell
Raw formation energy   0.1354 eV per atom
SG   P4/mbm

abc: 6.9206 6.9206 3.0233
angles: 90.00 90.00 90.00
Sites, in units of the cell vectors:
Co (0.1376, 0.6375, 0.5000)
Co (0.6375, 0.8624, 0.5000)
Co (0.8624, 0.3624, 0.5000)
Co (0.3624, 0.1376, 0.5000)
Se (0.3419, 0.8419, 0.0000)
Se (0.8419, 0.6581, 0.0000)
Se (0.6581, 0.1581, 0.0000)
Se (0.1581, 0.3419, 0.0000)
Pd (0.0000, 0.0000, 0.0000)
Pd (0.5000, 0.5000, 0.0000)

=====

4.
Entry from Alexandria via LeMat-Bulk: a geometry-optimized CrNiPb3 structure (PBE-GGA).

Output
Formation energy   4.3 eV/f.u.
Electronic total energy   -4.44 eV/atom
DOS at the Fermi energy   6.45 states/eV/cell
SG   Pm-3m

abc: 5.1865 5.1865 5.1865
angles: 90.00 90.00 90.00
Sites, in units of the cell vectors:
Pb (0.0000, 0.5000, 0.0000)
Pb (0.0000, 0.0000, 0.5000)
Pb (0.5000, 0.0000, 0.0000)
Ni (0.5000, 0.5000, 0.5000)
Cr (0.0000, 0.0000, 0.0000)

=====

5.
Entry from Alexandria via LeMat-Bulk: a geometry-optimized BeTeAs2 structure (PBE-GGA).

Output
Electronic total energy   -3.56 eV/atom
DOS at the Fermi energy   2.56 states/eV/cell
Raw formation energy   0.4782 eV per atom
SG   P4/mmm

abc: 3.6150 3.6152 9.3088
angles: 90.00 90.00 90.00
Sites, in units of the cell vectors:
Be (0.5000, 0.0000, 0.5000)
As (0.0000, 0.0000, 0.0000)
As (0.5000, 0.5000, 0.0000)
Te (0.0000, 0.5000, 0.5000)

=====

6.
Entry from Alexandria via LeMat-Bulk: a geometry-optimized AcInCo2H8 structure (PBE-GGA).

Output
Electronic total energy   -3.98 eV/atom
DOS at the Fermi energy   3.75 states/eV/cell
SG   P-3

abc: 4.4354 4.4354 6.8057
angles: 90.00 90.00 120.00
Sites, in units of the cell vectors:
Ac (0.0000, 0.0000, 0.0000)
In (0.0000, 0.0000, 0.5000)
Co (0.6667, 0.3333, 0.3072)
Co (0.3333, 0.6667, 0.6928)
H (0.3333, 0.6667, 0.9178)
H (0.3588, 0.3992, 0.2891)
H (0.6008, 0.9595, 0.2891)
H (0.6667, 0.3333, 0.0822)
H (0.3992, 0.0405, 0.7109)
H (0.6412, 0.6008, 0.7109)
H (0.9595, 0.3588, 0.7109)
H (0.0405, 0.6412, 0.2891)

=====

7.
Entry from Alexandria via LeMat-Bulk: a geometry-optimized CeDy4Y3 structure (PBE-GGA).

Output
Formation energy   1.6 eV/f.u.
Electronic total energy   -5.27 eV/atom
DOS at the Fermi energy   16.47 states/eV/cell
SG   C2/m

abc: 3.4232 6.7478 11.8365
angles: 106.60 98.31 90.00
Sites, in units of the cell vectors:
Y (0.0000, 0.5000, 0.0000)
Y (0.1257, 0.8841, 0.2515)
Y (0.8743, 0.1159, 0.7485)
Ce (0.5000, 0.0000, 0.0000)
Dy (0.7411, 0.2461, 0.4822)
Dy (0.2589, 0.7539, 0.5178)
Dy (0.1244, 0.3668, 0.2488)
Dy (0.8756, 0.6332, 0.7512)

=====

8.
Entry from Alexandria via LeMat-Bulk: a geometry-optimized LaNp3Se6 structure (PBE-GGA).

Output
Electronic total energy   -7.80 eV/atom
DOS at the Fermi energy   65.52 states/eV/cell
Raw formation energy   -1.3349 eV per atom
SG   P2_1/m

abc: 4.1786 11.6025 12.0694
angles: 108.15 90.00 90.00
Sites, in units of the cell vectors:
La (0.7500, 0.0486, 0.6944)
La (0.2500, 0.9514, 0.3056)
Np (0.7500, 0.4392, 0.8342)
Np (0.2500, 0.5608, 0.1658)
Np (0.7500, 0.6832, 0.5020)
Np (0.2500, 0.3168, 0.4980)
Np (0.7500, 0.1546, 0.0824)
Np (0.2500, 0.8454, 0.9176)
Se (0.7500, 0.4838, 0.6139)
Se (0.2500, 0.5162, 0.3861)
Se (0.7500, 0.9134, 0.0942)
Se (0.2500, 0.0866, 0.9058)
Se (0.7500, 0.3939, 0.0565)
Se (0.2500, 0.6061, 0.9435)
Se (0.7500, 0.7360, 0.2722)
Se (0.2500, 0.2640, 0.7278)
Se (0.7500, 0.1209, 0.4631)
Se (0.2500, 0.8791, 0.5369)
Se (0.7500, 0.8029, 0.7522)
Se (0.2500, 0.1971, 0.2478)

=====

9.
Entry from Alexandria via LeMat-Bulk: a geometry-optimized LiPr2ErTe4 structure (PBE-GGA).

Output
Electronic total energy   -4.92 eV/atom
DOS at the Fermi energy   3.31 states/eV/cell
Raw formation energy   -1.3494 eV per atom
SG   P2/m

abc: 4.3953 7.6157 7.7017
angles: 109.10 90.00 90.00
Sites, in units of the cell vectors:
Li (0.0000, 0.0000, 0.0000)
Pr (0.5000, 0.0000, 0.5000)
Pr (0.0000, 0.5000, 0.5000)
Er (0.5000, 0.5000, 0.0000)
Te (0.5000, 0.2398, 0.2289)
Te (0.5000, 0.7602, 0.7711)
Te (0.0000, 0.2518, 0.7700)
Te (0.0000, 0.7482, 0.2300)

=====

10.
Entry from Alexandria via LeMat-Bulk: a geometry-optimized MgBe2B structure (PBE-GGA).

Output
Formation energy   0.1 eV/f.u.
Electronic total energy   -3.91 eV/atom
DOS at the Fermi energy   1.16 states/eV/cell
SG   Cm

abc: 4.8757 3.3394 5.7860
angles: 90.00 112.67 90.00
Sites, in units of the cell vectors:
Be (0.1842, 0.0000, 0.6077)
Be (0.1842, 0.5000, 0.1077)
Be (0.3402, 0.0000, 0.3267)
Be (0.3402, 0.5000, 0.8267)
Mg (0.7697, 0.0000, 0.1367)
Mg (0.7697, 0.5000, 0.6367)
B (0.2210, 0.0000, 0.9536)
B (0.2210, 0.5000, 0.4536)

=====

11.
Entry from Alexandria via LeMat-Bulk: a geometry-optimized K2TlPtN structure (PBE-GGA).

Output
Electronic total energy   -3.72 eV/atom
DOS at the Fermi energy   3.57 states/eV/cell
Raw formation energy   0.0705 eV per atom
SG   P4/mmm

abc: 6.7017 6.7017 3.6917
angles: 90.00 90.00 90.00
Sites, in units of the cell vectors:
Tl (0.5000, 0.5000, 0.5000)
K (0.0000, 0.5000, 0.0000)
K (0.5000, 0.0000, 0.0000)
Pt (0.0000, 0.0000, 0.0000)
N (0.0000, 0.0000, 0.5000)

=====

12.
Entry from Alexandria via LeMat-Bulk: a geometry-optimized MgScTa structure (PBE-GGA).

Output
Formation energy   0.4 eV/f.u.
Electronic total energy   -6.44 eV/atom
DOS at the Fermi energy   4.59 states/eV/cell
SG   R3m

abc: 3.0908 3.0908 22.8754
angles: 90.00 90.00 120.00
Sites, in units of the cell vectors:
Mg (0.0000, 0.0000, 0.1909)
Mg (0.3333, 0.6667, 0.8576)
Mg (0.6667, 0.3333, 0.5242)
Sc (0.0000, 0.0000, 0.4044)
Sc (0.3333, 0.6667, 0.0711)
Sc (0.6667, 0.3333, 0.7378)
Ta (0.0000, 0.0000, 0.9678)
Ta (0.3333, 0.6667, 0.6345)
Ta (0.6667, 0.3333, 0.3012)

=====

13.
Entry from Alexandria via LeMat-Bulk: a geometry-optimized RbTcMo3 structure (PBE-GGA).

Output
Formation energy   17.2 eV/f.u.
Electronic total energy   -5.32 eV/atom
DOS at the Fermi energy   6.26 states/eV/cell
SG   Pm-3m

abc: 4.5929 4.5929 4.5929
angles: 90.00 90.00 90.00
Sites, in units of the cell vectors:
Mo (0.0000, 0.5000, 0.0000)
Mo (0.0000, 0.0000, 0.5000)
Mo (0.5000, 0.0000, 0.0000)
Tc (0.5000, 0.5000, 0.5000)
Rb (0.0000, 0.0000, 0.0000)

=====

14.
Entry from Alexandria via LeMat-Bulk: a geometry-optimized Na2InHg7 structure (PBE-GGA).

Output
Formation energy   0.7 eV/f.u.
Electronic total energy   -0.68 eV/atom
DOS at the Fermi energy   3.99 states/eV/cell
SG   Fm-3m

abc: 8.0117 8.0117 8.0117
angles: 60.00 60.00 60.00
Sites, in units of the cell vectors:
Na (0.2500, 0.2500, 0.2500)
Na (0.7500, 0.7500, 0.7500)
In (0.0000, 0.0000, 0.0000)
Hg (0.5000, 0.5000, 0.5000)
Hg (0.2507, 0.7493, 0.7493)
Hg (0.2507, 0.7493, 0.2507)
Hg (0.7493, 0.2507, 0.7493)
Hg (0.7493, 0.7493, 0.2507)
Hg (0.2507, 0.2507, 0.7493)
Hg (0.7493, 0.2507, 0.2507)

=====

15.
Entry from Alexandria via LeMat-Bulk: a geometry-optimized ZnCoMo2N structure (PBE-GGA).

Output
Electronic total energy   -7.75 eV/atom
DOS at the Fermi energy   3.69 states/eV/cell
Raw formation energy   -0.0730 eV per atom
SG   P4/mmm

abc: 4.0968 4.0968 3.7924
angles: 90.00 90.00 90.00
Sites, in units of the cell vectors:
Mo (0.0000, 0.5000, 0.0000)
Mo (0.5000, 0.0000, 0.0000)
Co (0.0000, 0.0000, 0.5000)
Zn (0.5000, 0.5000, 0.5000)
N (0.0000, 0.0000, 0.0000)

=====

16.
Entry from Alexandria via LeMat-Bulk: a geometry-optimized Er2ZnBi structure (PBE-GGA).

Output
Formation energy   -1.7 eV/f.u.
Electronic total energy   -4.00 eV/atom
DOS at the Fermi energy   3.12 states/eV/cell
SG   P4/mmm

abc: 3.8845 3.8845 6.7311
angles: 90.00 90.00 90.00
Sites, in units of the cell vectors:
Zn (0.5000, 0.5000, 0.5000)
Bi (0.5000, 0.5000, 0.0000)
Er (0.0000, 0.0000, 0.7412)
Er (0.0000, 0.0000, 0.2588)

=====

17.
Entry from Alexandria via LeMat-Bulk: a geometry-optimized Ce8Ir3CI4 structure (PBE-GGA).

Output
Electronic total energy   -6.41 eV/atom
DOS at the Fermi energy   40.33 states/eV/cell
Raw formation energy   -0.8165 eV per atom
SG   R-3m

abc: 8.1731 9.2495 8.1741
angles: 116.24 120.00 90.00
Sites, in units of the cell vectors:
Ce (0.2135, 0.6791, 0.9656)
Ce (0.2136, 0.6791, 0.4272)
Ce (0.2715, 0.3146, 0.5430)
Ce (0.7521, 0.6791, 0.9656)
Ce (0.2479, 0.3209, 0.0344)
Ce (0.7285, 0.6854, 0.4570)
Ce (0.7864, 0.3209, 0.5728)
Ce (0.7865, 0.3209, 0.0344)
Ir (0.5000, 0.5000, 0.0000)
Ir (0.5000, 0.5000, 0.5000)
Ir (0.0000, 0.5000, 0.5000)
C (0.0000, 0.5000, 0.0000)
I (0.5000, 0.0000, 0.0000)
I (0.5000, 0.0000, 0.5000)
I (0.0000, 0.0000, 0.0000)
I (0.0000, 0.0000, 0.5000)

=====

18.
Entry from Alexandria via LeMat-Bulk: a geometry-optimized SrTa2Au structure (PBE-GGA).

Output
Formation energy   1.2 eV/f.u.
Electronic total energy   -6.87 eV/atom
DOS at the Fermi energy   4.17 states/eV/cell
SG   Cmm2

abc: 3.0213 3.0213 9.5415
angles: 90.00 90.00 97.21
Sites, in units of the cell vectors:
Au (0.0000, 0.0000, 0.4688)
Sr (0.5000, 0.5000, 0.7324)
Ta (0.0000, 0.0000, 0.0405)
Ta (0.5000, 0.5000, 0.2583)

=====

19.
Entry from Alexandria via LeMat-Bulk: a geometry-optimized MnHg2Os structure (PBE-GGA).

Output
Formation energy   3.1 eV/f.u.
Electronic total energy   -4.46 eV/atom
DOS at the Fermi energy   2.53 states/eV/cell
SG   F-43m

abc: 4.6402 4.6402 4.6402
angles: 60.00 60.00 60.00
Sites, in units of the cell vectors:
Hg (0.0000, 0.0000, 0.0000)
Hg (0.2500, 0.2500, 0.2500)
Mn (0.5000, 0.5000, 0.5000)
Os (0.7500, 0.7500, 0.7500)

=====

20.
Entry from Alexandria via LeMat-Bulk: a geometry-optimized RbSbSI2 structure (PBE-GGA).

Output
Electronic total energy   -2.63 eV/atom
DOS at the Fermi energy   2.04 states/eV/cell
Raw formation energy   -0.1624 eV per atom
SG   P4/mmm

abc: 6.0397 6.0397 5.3639
angles: 90.00 90.00 90.00
Sites, in units of the cell vectors:
I (0.0000, 0.5000, 0.0000)
I (0.5000, 0.0000, 0.0000)
Sb (0.0000, 0.0000, 0.5000)
S (0.0000, 0.0000, 0.0000)
Rb (0.5000, 0.5000, 0.5000)